Record 1
This record from Alexandria describes a relaxed MgTa2FePd crystal. The functional is PBE.

Output
**Formation energy**: 1265 meV per atom

abc: 4.808 4.808 4.609
angles: 90.00 90.00 90.00
Element x y z (fractional)
Mg1 0.000 0.000 0.000
Ta1 0.000 0.500 0.500
Ta2 0.500 0.000 0.500
Fe1 0.500 0.500 0.000
Pd1 0.500 0.500 0.500

Record 2
This record from Alexandria describes a relaxed MgFe2TcPd crystal. The functional is PBE.

Output
**Formation energy**: 1678 meV per atom

abc: 4.389 4.389 4.572
angles: 90.00 90.00 90.00
Element x y z (fractional)
Mg1 0.000 0.000 0.000
Fe1 0.000 0.500 0.000
Fe2 0.500 0.000 0.000
Tc1 0.000 0.000 0.500
Pd1 0.500 0.500 0.500

Record 3
This record from Alexandria describes a relaxed MgZr2FePd crystal. The functional is PBE.

Output
**Formation energy**: 586 meV per atom

abc: 5.057 5.057 4.731
angles: 90.00 90.00 90.00
Element x y z (fractional)
Mg1 0.000 0.000 0.000
Zr1 0.000 0.500 0.500
Zr2 0.500 0.000 0.500
Fe1 0.500 0.500 0.000
Pd1 0.500 0.500 0.500

Record 4
This record from Alexandria describes a relaxed PmMgFe crystal. The functional is PBE.

Output
**Formation energy**: 44 meV per atom

abc: 7.068 7.068 5.327
angles: 102.44 102.44 31.56
Element x y z (fractional)
Pm1 0.139 0.139 0.328
Pm2 0.861 0.861 0.672
Mg1 0.420 0.420 0.207
Mg2 0.580 0.580 0.793
Fe1 0.234 0.234 0.910
Fe2 0.766 0.766 0.090

Record 5
This record from Alexandria describes a relaxed Pm2MgFe crystal. The functional is PBE.

Output
**Relative energy among the computed polymorphs**: 0.000 eV per atom
**Formation energy**: 67 meV per atom

abc: 3.518 3.518 8.198
angles: 90.00 90.00 90.00
Element x y z (fractional)
Pm1 0.000 0.000 0.205
Pm2 0.000 0.000 0.795
Mg1 0.500 0.500 0.500
Fe1 0.500 0.500 0.000

Record 6
This record from Alexandria describes a relaxed Pm6MgFe2 crystal. The functional is PBE.

Output
**Formation energy**: 26 meV per atom

abc: 8.674 8.674 8.674
angles: 111.56 109.78 107.11
Element x y z (fractional)
Pm1 0.010 0.225 0.785
Pm2 0.187 0.290 0.477
Pm3 0.187 0.710 0.897
Pm4 0.309 0.011 0.702
Pm5 0.309 0.607 0.298
Pm6 0.440 0.225 0.215
Pm7 0.560 0.775 0.785
Pm8 0.691 0.393 0.702
Pm9 0.691 0.989 0.298
Pm10 0.813 0.290 0.103
Pm11 0.813 0.710 0.523
Pm12 0.990 0.775 0.215
Mg1 0.000 0.000 0.000
Mg2 0.500 0.500 0.000
Fe1 0.106 0.606 0.500
Fe2 0.388 0.000 0.388
Fe3 0.612 0.000 0.612
Fe4 0.894 0.394 0.500